1.
First-principles (PBE) data for an optimized crystal structure of CaAl2Sb, as listed in Alexandria.

Values from the calculation:
Formation energy without anion corrections (meV/atom): -230.2
Volume (Å³/atom): 24.9
Total moment (μB per formula unit): 0.0
Symmetry: Cm (8)
Crystal system: monoclinic

Lattice parameters (Å, degrees): 4.9359 4.9359 5.7349 105.86 105.86 48.36
Last column: nearest neighbours and their distance in Å.
Positions (direct):
Ca  0.0000  0.0000  0.0000  5 Al 3.21-3.26, 3 Sb 3.23-3.28
Al  0.2340  0.2340  0.6745  3 Al 2.77-2.78, 2 Sb 2.89
Al  0.5124  0.5124  0.5630  3 Al 2.77-2.78, 3 Sb 2.97-2.99
Sb  0.7673  0.7673  0.3333  5 Al 2.89-2.99, 1 Ca 3.23

---

2.
First-principles (PBE) data for an optimized crystal structure of CaAlSb2, as listed in Alexandria.

Values from the calculation:
Formation energy without anion corrections (meV/atom): -283.6
Volume (Å³/atom): 25.8
Total moment (μB per formula unit): 0.0
Symmetry: Imm2 (44)
Crystal system: orthorhombic

Lattice parameters (Å, degrees): 6.2453 6.2453 6.2453 142.32 135.65 59.57
Last column: nearest neighbours and their distance in Å.
Positions (direct):
Ca  0.0000  0.0000  0.0000  6 Sb 3.11-3.43, 2 Al 3.44
Al  0.7307  0.2307  0.5000  6 Sb 3.07-3.13
Sb  0.2703  0.7703  0.5000  4 Al 3.13, 2 Sb 3.36, 2 Ca 3.43
Sb  0.5177  0.5177  0.0000  2 Al 3.07, 4 Ca 3.11, 2 Sb 3.36

---

Which of these has the lowest volume?
CaAl2Sb

---

Number 1 is which compound?
CaAl2Sb

---

The lowest volume belongs to which entry?
CaAl2Sb